Record 1
# Zn2CrRh

An optimized crystal structure of Zn2CrRh (PBE, the Alexandria database).

Calculated values
Density of states at the Fermi level: 0.622 states/eV per atom
E above lowest polymorph: 10 meV/atom
Size of the total moment: 3.78 μB per cell
DFT formation energy: -0.494 eV per formula unit

Lattice parameters (Å, degrees): 4.308 4.308 4.308 60.00 60.00 60.00
Fractional coordinates of all 4 atoms:
Zn 0.250 0.250 0.250
Zn 0.750 0.750 0.750
Cr 0.000 0.000 0.000
Rh 0.500 0.500 0.500

=====

Record 2
# Li7Y3Au4

An optimized crystal structure of Li7Y3Au4 (PBE, the Alexandria database).

Calculated values
Density of states at the Fermi level: 0.498 states/eV per atom
Size of the total moment: 0.00 μB per cell
DFT formation energy: -6.650 eV per formula unit

Lattice parameters (Å, degrees): 8.130 8.130 10.380 123.41 123.41 29.77
Fractional coordinates of all 14 atoms:
Li 0.000 0.000 0.000
Li 0.167 0.167 0.934
Li 0.326 0.326 0.496
Li 0.480 0.480 0.183
Li 0.520 0.520 0.817
Li 0.674 0.674 0.504
Li 0.833 0.833 0.066
Y 0.000 0.000 0.500
Y 0.297 0.297 0.773
Y 0.703 0.703 0.227
Au 0.106 0.106 0.316
Au 0.346 0.346 0.252
Au 0.654 0.654 0.748
Au 0.894 0.894 0.684